# 1
The following is a DFT calculation (PBE) of a relaxed Ba2Mg6TlRh crystal.

Computed properties:
The final energy is -2.46 eV per atom. The calculation puts the formation enthalpy at 0 K at -0.1440 eV per atom.

Cell: 7.5570 7.5584 7.5544 Å, 60.04 60.04 90.02°
With the nearest neighbours (Å) after each atom.
Sites, in units of the cell vectors:
Tl 0.0000 0.0000 0.0000  6 Mg 2.85-2.86
Rh 0.5000 0.5000 0.0000  6 Mg 2.49
Mg 0.7328 0.7328 0.0002  1 Rh 2.49
Mg 0.2672 0.2672 0.9998  1 Rh 2.49
Mg 0.7330 0.2670 0.0000  1 Rh 2.49
Mg 0.7330 0.7329 0.5340  1 Rh 2.49
Mg 0.2670 0.2671 0.4660  1 Rh 2.49
Mg 0.2670 0.7330 0.0000  1 Rh 2.49
Ba 0.7501 0.2498 0.5000  12 Mg 3.78-3.79
Ba 0.2499 0.7502 0.5000  12 Mg 3.78-3.79

# 2
The following is a DFT calculation (PBE) of a relaxed CrSbBr2 crystal.

Computed properties:
The final energy is -4.14 eV per atom. Its energy relative to the elements, uncorrected is 135 meV per atom.

Cell: 4.3806 4.9570 4.9432 Å, 83.17 90.00 90.00°
With the nearest neighbours (Å) after each atom.
Sites, in units of the cell vectors:
Br 0.0000 0.0245 0.0247  2 Cr 2.75, 2 Sb 2.99
Br 0.0000 0.4755 0.4753  2 Cr 2.75, 2 Sb 2.99
Cr 0.5000 0.2500 0.2500  4 Br 2.75
Sb 0.5000 0.7500 0.7500  4 Br 2.99, 2 Cr 3.29

# 3
The following is a DFT calculation (PBE) of a relaxed PmPuCu4 crystal.

Computed properties:
The final energy is -6.01 eV per atom. The calculation puts the formation enthalpy at 0 K at -0.0981 eV per atom.

Cell: 3.5207 4.3449 7.4277 Å, 90.00 90.00 90.00°
With the nearest neighbours (Å) after each atom.
Sites, in units of the cell vectors:
Cu 0.4985 0.4973 0.6671  3 Cu 2.49-2.51
Cu 0.4985 0.4973 0.3292  3 Cu 2.49-2.51
Cu 0.4985 0.9973 0.8322  3 Cu 2.46-2.49
Cu 0.4985 0.9973 0.1641  3 Cu 2.46-2.49
Pm 0.9988 0.9973 0.4981  12 Cu 3.04-3.07
Pu 0.9987 0.4973 0.9981  12 Cu 3.02-3.06

# 4
The following is a DFT calculation (PBE) of a relaxed La2PrTm3 crystal.

Computed properties:
The final energy is -4.53 eV per atom. The calculation puts the formation enthalpy at 0 K at 0.1440 eV per atom.

Cell: 7.0392 9.1220 7.0820 Å, 101.24 90.00 112.70°
With the nearest neighbours (Å) after each atom.
Sites, in units of the cell vectors:
La 0.3122 0.6450 0.4101  2 La 3.54, 6 Tm 3.57-3.82, 2 Pr 3.76-3.82
La 0.3327 0.6450 0.9101  2 La 3.54, 6 Tm 3.57-3.82, 2 Pr 3.76-3.82
La 0.6878 0.3550 0.5899  2 La 3.54, 6 Tm 3.57-3.82, 2 Pr 3.76-3.82
La 0.6673 0.3550 0.0899  2 La 3.54, 6 Tm 3.57-3.82, 2 Pr 3.76-3.82
Pr 0.2673 0.0000 0.7500  7 Tm 3.27-3.54
Pr 0.7327 0.0000 0.2500  7 Tm 3.27-3.54
Tm 0.8727 0.7313 0.9345  4 Tm 3.37-3.54, 2 Pr 3.38-3.42, 4 La 3.57-3.61
Tm 0.8585 0.7313 0.4345  4 Tm 3.37-3.54, 2 Pr 3.38-3.42, 4 La 3.57-3.61
Tm 0.2683 0.0000 0.2500  3 Pr 3.27-3.54, 4 Tm 3.37-3.44
Tm 0.7317 0.0000 0.7500  3 Pr 3.27-3.54, 4 Tm 3.37-3.44
Tm 0.1273 0.2687 0.0655  4 Tm 3.37-3.54, 2 Pr 3.38-3.42, 4 La 3.57-3.61
Tm 0.1415 0.2687 0.5655  4 Tm 3.37-3.54, 2 Pr 3.38-3.42, 4 La 3.57-3.61